(1)
Below is La2MnRu at its PBEsol-relaxed geometry, with properties calculated at the meta-GGA SCAN level.

Summary:
N(E_F)   0.601 states/eV/atom
Calculated density   8.1 g/cm³
Energy relative to the elements   -0.014 eV/atom

Unit cell a=3.473 b=5.050 c=5.050 alpha=90.01 beta=90.01 gamma=90.01
Last column: magnetic moment on the atom in μB.
Positions (direct):
La (0.000, 0.000, 0.500)  -0.15
La (0.000, 0.500, 0.000)  -0.15
Mn (0.500, 0.500, 0.500)  3.85
Ru (0.500, 0.000, 0.000)  0.29


(2)
Below is LaMnZnS2 at its PBEsol-relaxed geometry, with properties calculated at the meta-GGA SCAN level.

Summary:
N(E_F)   0.326 states/eV/atom
Calculated density   5.7 g/cm³
Uncorrected energy   -19.7675 eV/atom

Unit cell a=4.498 b=4.574 c=4.574 alpha=90.00 beta=90.00 gamma=90.00
Last column: magnetic moment on the atom in μB.
Positions (direct):
S (0.000, 0.500, 0.000)  0.04
S (0.000, 0.000, 0.500)  0.04
Mn (0.000, 0.000, 0.000)  3.27
La (0.500, 0.500, 0.500)  -0.02
Zn (0.500, 0.000, 0.000)  -0.05


Copy entry 1 word for word.
Below is La2MnRu at its PBEsol-relaxed geometry, with properties calculated at the meta-GGA SCAN level.

Summary:
N(E_F)   0.601 states/eV/atom
Calculated density   8.1 g/cm³
Energy relative to the elements   -0.014 eV/atom

Unit cell a=3.473 b=5.050 c=5.050 alpha=90.01 beta=90.01 gamma=90.01
Last column: magnetic moment on the atom in μB.
Positions (direct):
La (0.000, 0.000, 0.500)  -0.15
La (0.000, 0.500, 0.000)  -0.15
Mn (0.500, 0.500, 0.500)  3.85
Ru (0.500, 0.000, 0.000)  0.29


- N(E_F) of number 1 (La2MnRu)?
  0.601 states/eV/atom


Repeat the first record exactly.
Below is La2MnRu at its PBEsol-relaxed geometry, with properties calculated at the meta-GGA SCAN level.

Summary:
N(E_F)   0.601 states/eV/atom
Calculated density   8.1 g/cm³
Energy relative to the elements   -0.014 eV/atom

Unit cell a=3.473 b=5.050 c=5.050 alpha=90.01 beta=90.01 gamma=90.01
Last column: magnetic moment on the atom in μB.
Positions (direct):
La (0.000, 0.000, 0.500)  -0.15
La (0.000, 0.500, 0.000)  -0.15
Mn (0.500, 0.500, 0.500)  3.85
Ru (0.500, 0.000, 0.000)  0.29


- What is the N(E_F) in the second record?
  0.326 states/eV/atom